[1]
NbAsSe2Br: PBEsol geometry, SCAN.

The space group is P4/mmm (No. 123) and the conventional cell measures 4.8961, 4.8961 and 4.9843 Å, with angles of 90.00, 90.00 and 90.00 degrees. The asymmetric unit holds Nb at (0.0000, 0.0000, 0.0000), As at (0.5000, 0.5000, 0.0000), Se at (0.0000, 0.5000, 0.5000) and Br at (0.5000, 0.5000, 0.5000).

The calculation puts the polymorph energy (0 for the lowest one) at 0.6120 eV/atom. The total energy is -106.796 eV for the cell shown. The uncorrected formation energy is 1.228 eV/atom.

=====

[2]
NbAsSeBr2: PBEsol geometry, SCAN.

The space group is P4/mmm (No. 123) and the conventional cell measures 4.8880, 4.8880 and 5.2682 Å, with angles of 90.00, 90.00 and 90.00 degrees. The asymmetric unit holds Nb at (0.0000, 0.0000, 0.0000), As at (0.0000, 0.0000, 0.5000), Se at (0.5000, 0.5000, 0.5000) and Br at (0.0000, 0.5000, 0.0000).

The total energy is -111.239 eV for the cell shown. The uncorrected formation energy is 0.216 eV/atom.

=====

[3]
NbAs2WBr: PBEsol geometry, SCAN.

The space group is P4/mmm (No. 123) and the conventional cell measures 4.8013, 4.8013 and 5.0365 Å, with angles of 90.00, 90.00 and 90.00 degrees. The asymmetric unit holds Nb at (0.0000, 0.0000, 0.0000), As at (0.0000, 0.5000, 0.5000), W at (0.5000, 0.5000, 0.5000) and Br at (0.5000, 0.5000, 0.0000).

The total energy is -157.607 eV for the cell shown. The uncorrected formation energy is 1.010 eV/atom.